# 1
Compound: Sc4MnAg
Source: Alexandria
Functional: PBEsol
Structure: relaxed

Cell: 7.9126 7.9126 7.9126 Å, 90.00 90.00 90.00°
Space group F-43m (No. 216)
Symmetry-distinct sites (fractional):
Sc: 0.1242 0.1242 0.1242 (multiplicity 16)
Mn: 0.2500 0.2500 0.7500 (multiplicity 4)
Ag: 0.0000 0.0000 0.5000 (multiplicity 4)

# 2
Compound: ScMn2Ag
Source: Alexandria
Functional: PBEsol
Structure: relaxed

Cell: 6.3260 6.3260 6.3260 Å, 90.00 90.00 90.00°
Space group F-43m (No. 216)
Symmetry-distinct sites (fractional):
Sc: 0.0000 0.0000 0.0000 (multiplicity 4)
Mn: 0.0000 0.0000 0.5000 (multiplicity 4)
Mn: 0.2500 0.2500 0.7500 (multiplicity 4)
Ag: 0.2500 0.2500 0.2500 (multiplicity 4)

In g/cm3, the theoretical density values for the records above are, in order, 4.59; 6.89.
In eV/atom, the energy of formation from the pure elements values for the records above are, in order, 0.526; 0.228.